This record from the Alexandria database describes K2NbRe3O12 after structural relaxation. The functional is PBE.

The value obtained for the raw total energy is -7.869 eV per atom. Its raw formation energy is -1808 meV/atom.

The space group is R-3m (No. 166, hexagonal axes) and the conventional cell measures 7.3007, 7.3007 and 18.1921 Å, with angles of 90.00, 90.00 and 120.00 degrees. The asymmetric unit holds K at (0.0000, 0.0000, 0.1368), Nb at (0.0000, 0.0000, 0.5000), Re at (0.0000, 0.5000, 0.0000), O at (0.0714, 0.5357, 0.1039) and O at (0.0846, 0.5423, 0.3496).

This record from the Alexandria database describes K2NbRh3O12 after structural relaxation. The functional is PBE.

The value obtained for the raw total energy is -6.255 eV per atom. Its raw formation energy is -1043 meV/atom.

The space group is R-3m (No. 166, hexagonal axes) and the conventional cell measures 7.1981, 7.1981 and 18.2801 Å, with angles of 90.00, 90.00 and 120.00 degrees. The asymmetric unit holds K at (0.0000, 0.0000, 0.1158), Nb at (0.0000, 0.0000, 0.5000), Rh at (0.0000, 0.5000, 0.0000), O at (0.0680, 0.5340, 0.3544) and O at (0.0726, 0.5363, 0.1037).

This record from the Alexandria database describes KNbRhO6 after structural relaxation. The functional is PBE.

The value obtained for the raw total energy is -6.797 eV per atom. Its raw formation energy is -1434 meV/atom.

The space group is P3 (No. 143) and the conventional cell measures 5.3266, 5.3266 and 6.0043 Å, with angles of 90.00, 90.00 and 120.00 degrees. The asymmetric unit holds K at (0.0000, 0.0000, 0.0000), Nb at (0.3333, 0.6667, 0.5380), Rh at (0.6667, 0.3333, 0.4729), O at (0.3814, 0.0125, 0.6782) and O at (0.3921, 0.3889, 0.3098).

This record from the Alexandria database describes K2NbRu3O12 after structural relaxation. The functional is PBE.

The value obtained for the raw total energy is -6.848 eV per atom. Its raw formation energy is -1315 meV/atom.

The space group is R-3m (No. 166, hexagonal axes) and the conventional cell measures 7.2040, 7.2040 and 18.1695 Å, with angles of 90.00, 90.00 and 120.00 degrees. The asymmetric unit holds K at (0.0000, 0.0000, 0.1327), Nb at (0.0000, 0.0000, 0.5000), Ru at (0.0000, 0.5000, 0.0000), O at (0.0659, 0.5330, 0.1054) and O at (0.0801, 0.5400, 0.3479).

| no. | magnetization (μB per atom) |
| --- | --- |
| 1 | 0.20 |
| 2 | 0.23 |
| 3 | 0.34 |
| 4 | 0.00 |